No. 1
First-principles (PBE) data for LiCuAu2 after structural relaxation, as listed in Alexandria.

a b c (Å): 3.292 3.292 5.760
angles (deg): 90.00 90.00 90.00
Sites, in units of the cell vectors:
1 Li 0.000 0.000 0.000
2 Cu 0.500 0.500 0.757
3 Au 0.000 0.000 0.535
4 Au 0.500 0.500 0.223

**Energy of formation from the pure elements**: -0.19 eV/atom
**Crystal system**: tetragonal
**Final energy**: -3.33 eV/atom
**Space group**: P4mm, No. 99


No. 2
First-principles (PBE) data for LiCuAu2 after structural relaxation, as listed in Alexandria.

a b c (Å): 2.871 2.871 7.430
angles (deg): 90.00 90.00 90.00
Sites, in units of the cell vectors:
1 Li 0.000 0.000 0.000
2 Cu 0.000 0.000 0.500
3 Au 0.500 0.500 0.252
4 Au 0.500 0.500 0.748

**Energy of formation from the pure elements**: -0.29 eV/atom
**Crystal system**: tetragonal
**Final energy**: -3.43 eV/atom
**Space group**: P4/mmm, No. 123


Question: Look up the energy of formation from the pure elements of the second one.
Answer: -0.29 eV/atom


Please write out number 1 again, unchanged.
First-principles (PBE) data for LiCuAu2 after structural relaxation, as listed in Alexandria.

a b c (Å): 3.292 3.292 5.760
angles (deg): 90.00 90.00 90.00
Sites, in units of the cell vectors:
1 Li 0.000 0.000 0.000
2 Cu 0.500 0.500 0.757
3 Au 0.000 0.000 0.535
4 Au 0.500 0.500 0.223

**Energy of formation from the pure elements**: -0.19 eV/atom
**Crystal system**: tetragonal
**Final energy**: -3.33 eV/atom
**Space group**: P4mm, No. 99


Question: Which formula does entry 1 have?
Answer: LiCuAu2


Question: Among the records above, which one has the lowest final energy?
Answer: number 2